(1)
VASP calculation (PBE) on crystalline Sr2Ni12Ge7 at its relaxed geometry.

Output
Formation energy from the elements   -366 meV per atom

Cell lengths 9.4949, 9.4949, 3.8820 Å; angles 90.00, 90.00, 120.00 degrees
Space group P-6 (No. 174)
One atom of each set of equivalent atoms:
Sr 0.0000 0.0000 0.0000 x1
Sr 0.3333 0.6667 0.5000 x1
Ni 0.0301 0.2841 0.5000 x3
Ni 0.1217 0.7416 0.0000 x3
Ni 0.3864 0.1920 0.0000 x3
Ni 0.5665 0.4271 0.5000 x3
Ge 0.0482 0.4537 0.0000 x3
Ge 0.2706 0.2442 0.5000 x3
Ge 0.6667 0.3333 0.0000 x1

=====

(2)
VASP calculation (PBE) on crystalline Li2La2Si3 at its relaxed geometry.

Output
Energy relative to the elements, uncorrected   -0.63 eV per atom

Cell lengths 4.516, 18.799, 6.905 Å; angles 90.00, 90.00, 90.00 degrees
Space group Cmcm (No. 63)
One atom of each set of equivalent atoms:
Li 0.000 0.187 0.061 x8
La 0.000 0.340 0.250 x4
La 0.000 0.448 0.750 x4
Si 0.000 0.057 0.576 x8
Si 0.000 0.280 0.750 x4

=====

(3)
VASP calculation (PBE) on crystalline K2Ge3I8 at its relaxed geometry.

Output
Relative energy among the computed polymorphs   0.0000 eV/atom
Energy relative to the elements, uncorrected   -0.66 eV per atom

Cell lengths 17.197, 8.881, 7.738 Å; angles 90.00, 107.29, 90.00 degrees
Space group C2/m (No. 12)
One atom of each set of equivalent atoms:
K 0.242 0.000 0.168 x4
Ge 0.000 0.242 0.500 x4
Ge 0.000 0.500 0.000 x2
I 0.103 0.261 0.894 x8
I 0.105 0.500 0.394 x4
I 0.108 0.000 0.445 x4

=====

(4)
VASP calculation (PBE) on crystalline LiSi2Tc at its relaxed geometry.

Output
Relative energy among the computed polymorphs   0.0714 eV/atom
Energy relative to the elements, uncorrected   -0.23 eV per atom

Cell lengths 3.779, 3.136, 9.211 Å; angles 90.00, 90.00, 90.00 degrees
Space group Amm2 (No. 38)
One atom of each set of equivalent atoms:
Li 0.000 0.000 0.000 x2
Si 0.000 0.000 0.738 x2
Si 0.500 0.000 0.575 x2
Tc 0.500 0.000 0.300 x2

=====

(5)
VASP calculation (PBE) on crystalline Pm2Pr7Er2 at its relaxed geometry.

Output
Relative energy among the computed polymorphs   0.0000 eV/atom
Formation energy from the elements   130 meV per atom

Cell lengths 11.672, 11.611, 6.169 Å; angles 90.00, 111.98, 90.00 degrees
Space group C2/m (No. 12)
One atom of each set of equivalent atoms:
Pm 0.226 0.000 0.097 x4
Pr 0.000 0.000 0.500 x2
Pr 0.074 0.500 0.299 x4
Pr 0.183 0.230 0.680 x8
Er 0.000 0.217 0.000 x4

=====

(6)
VASP calculation (PBE) on crystalline TaSbP2Cl at its relaxed geometry.

Output
Relative energy among the computed polymorphs   1.1532 eV/atom
Energy relative to the elements, uncorrected   1.34 eV per atom

Cell lengths 5.028, 5.028, 4.847 Å; angles 90.00, 90.00, 90.00 degrees
Space group P4/mmm (No. 123)
One atom of each set of equivalent atoms:
Ta 0.000 0.000 0.000 x1
Sb 0.500 0.500 0.500 x1
P 0.000 0.500 0.500 x2
Cl 0.500 0.500 0.000 x1

=====

(7)
VASP calculation (PBE) on crystalline CeDyHoPa at its relaxed geometry.

Output
Formation energy from the elements   366 meV per atom

Cell lengths 7.805, 7.805, 7.805 Å; angles 90.00, 90.00, 90.00 degrees
Space group F-43m (No. 216)
One atom of each set of equivalent atoms:
Ce 0.000 0.000 0.000 x4
Dy 0.000 0.000 0.500 x4
Ho 0.250 0.250 0.750 x4
Pa 0.250 0.250 0.250 x4

=====

(8)
VASP calculation (PBE) on crystalline Ca2TcRu at its relaxed geometry.

Output
Relative energy among the computed polymorphs   0.4737 eV/atom
Formation energy from the elements   688 meV per atom

Cell lengths 4.123, 4.123, 9.336 Å; angles 90.00, 90.00, 90.00 degrees
Space group I4/mmm (No. 139)
One atom of each set of equivalent atoms:
Ca 0.000 0.500 0.250 x4
Tc 0.000 0.000 0.000 x2
Ru 0.000 0.000 0.500 x2

=====

(9)
VASP calculation (PBE) on crystalline Na2Ta2AgSe6 at its relaxed geometry.

Output
Energy relative to the elements, uncorrected   -0.72 eV per atom

Cell lengths 6.623, 11.567, 7.276 Å; angles 90.00, 103.83, 90.00 degrees
Space group C2/m (No. 12)
One atom of each set of equivalent atoms:
Na 0.000 0.169 0.000 x4
Ta 0.000 0.358 0.500 x4
Ag 0.000 0.000 0.500 x2
Se 0.181 0.500 0.753 x4
Se 0.230 0.185 0.699 x8

=====

(10)
VASP calculation (PBE) on crystalline LiErThNb at its relaxed geometry.

Output
Formation energy from the elements   213 meV per atom

Cell lengths 7.237, 7.237, 7.237 Å; angles 90.00, 90.00, 90.00 degrees
Space group F-43m (No. 216)
One atom of each set of equivalent atoms:
Li 0.000 0.000 0.000 x4
Er 0.250 0.250 0.250 x4
Th 0.250 0.250 0.750 x4
Nb 0.000 0.000 0.500 x4

=====

(11)
VASP calculation (PBE) on crystalline CaInAs2Pd5 at its relaxed geometry.

Output
Formation energy from the elements   -458 meV per atom

Cell lengths 4.065, 4.065, 11.441 Å; angles 90.00, 90.00, 90.00 degrees
Space group P4/mmm (No. 123)
One atom of each set of equivalent atoms:
Ca 0.000 0.000 0.000 x1
In 0.000 0.000 0.500 x1
As 0.500 0.500 0.210 x2
Pd 0.000 0.500 0.333 x4
Pd 0.500 0.500 0.000 x1

=====

(12)
VASP calculation (PBE) on crystalline LaPr3C at its relaxed geometry.

Output
Formation energy from the elements   123 meV per atom

Cell lengths 5.306, 5.306, 5.306 Å; angles 90.00, 90.00, 90.00 degrees
Space group Pm-3m (No. 221)
One atom of each set of equivalent atoms:
La 0.000 0.000 0.000 x1
Pr 0.000 0.500 0.500 x3
C 0.500 0.500 0.500 x1